Below is an optimized crystal structure of TaPt4Rh, with properties calculated at the PBE level.

a b c (Å): 5.1843 5.1843 5.1843
angles (deg): 60.00 60.00 60.00
Atoms (fractional coordinates):
Pt1 0.3753 0.3753 0.3753
Pt2 0.3753 0.8741 0.3753
Pt3 0.3753 0.3753 0.8741
Pt4 0.8741 0.3753 0.3753
Ta1 0.0000 0.0000 0.0000
Rh1 0.7500 0.7500 0.7500

Fermi-level density of states   5.97 states/eV/cell
Magnetic moment   0.00 μB per cell
ρ   17.9 g/cm³
Final energy   -7.368 eV per atom
Energy of formation from the pure elements   -0.141 eV/atom